(1)
The following is a DFT calculation (PBE-GGA) of an optimized crystal structure of Mg3Al3Cd2.

Unit cell a=10.394 b=10.394 c=10.394 alpha=156.95 beta=156.63 gamma=33.05
Sites, in units of the cell vectors:
Mg  0.000  0.000  0.000
Mg  0.250  0.750  0.500
Mg  0.750  0.250  0.500
Al  0.365  0.365  0.000
Al  0.500  0.500  0.000
Al  0.635  0.635  0.000
Cd  0.142  0.142  0.000
Cd  0.858  0.858  0.000

Output
* calculated density: 3.61 g/cm³
* E_tot: -2.029 eV/atom
* space group: Immm (71)

***

(2)
The following is a DFT calculation (PBE-GGA) of an optimized crystal structure of NdTm2Mg3Al2Cd.

Unit cell a=4.583 b=7.458 c=7.458 alpha=121.13 beta=90.00 gamma=90.00
Sites, in units of the cell vectors:
Nd  0.000  0.000  0.000
Tm  0.000  0.427  0.858
Tm  0.000  0.858  0.427
Mg  0.500  0.186  0.430
Mg  0.500  0.430  0.186
Mg  0.500  0.676  0.676
Al  0.500  0.097  0.756
Al  0.500  0.756  0.097
Cd  0.000  0.441  0.441

Output
* calculated density: 5.49 g/cm³
* E_tot: -3.271 eV/atom
* space group: Amm2 (38)

***

- Which of these has the highest calculated density?
  NdTm2Mg3Al2Cd